Entry 1:
The following is a GGA-PBE calculation of crystalline K4IrAu at its relaxed geometry, from Alexandria.

CIF file:
```
data_K4IrAu
_cell_length_a 8.938
_cell_length_b 8.938
_cell_length_c 8.938
_cell_angle_alpha 90.00
_cell_angle_beta 90.00
_cell_angle_gamma 90.00
_symmetry_space_group_name_H-M 'F -4 3 m'
_symmetry_Int_Tables_number 216
_symmetry_space_group_name_Hall 'F -4 2 3'
loop_
_atom_site_label
_atom_site_fract_x
_atom_site_fract_y
_atom_site_fract_z
K1 0.125 0.125 0.125
Ir1 0.000 0.000 0.500
Au1 0.250 0.250 0.750
```

Computed properties:
- ΔE_f (eV/atom) = 0.837
- ρ (g/cm3) = 5.07
- total moment (μB/cell) = 0.52

=====

Entry 2:
The following is a GGA-PBE calculation of crystalline Ta2Be2Nb at its relaxed geometry, from Alexandria.

CIF file:
```
data_Ta2Be2Nb
_cell_length_a 3.189
_cell_length_b 3.189
_cell_length_c 15.502
_cell_angle_alpha 90.00
_cell_angle_beta 90.00
_cell_angle_gamma 90.00
_symmetry_space_group_name_H-M 'I 4/m m m'
_symmetry_Int_Tables_number 139
_symmetry_space_group_name_Hall '-I 4 2'
loop_
_atom_site_label
_atom_site_fract_x
_atom_site_fract_y
_atom_site_fract_z
Ta1 0.000 0.000 0.106
Be1 0.000 0.500 0.250
Nb1 0.000 0.000 0.500
```

Computed properties:
- energy above the most stable polymorph in this dataset (eV/atom) = 0.701
- ΔE_f (eV/atom) = 0.537
- ρ (g/cm3) = 9.96
- total moment (μB/cell) = 0.00

=====

Entry 3:
The following is a GGA-PBE calculation of crystalline PaGaRuPt at its relaxed geometry, from Alexandria.

CIF file:
```
data_PaGaRuPt
_cell_length_a 6.650
_cell_length_b 6.650
_cell_length_c 6.650
_cell_angle_alpha 90.00
_cell_angle_beta 90.00
_cell_angle_gamma 90.00
_symmetry_space_group_name_H-M 'F -4 3 m'
_symmetry_Int_Tables_number 216
_symmetry_space_group_name_Hall 'F -4 2 3'
loop_
_atom_site_label
_atom_site_fract_x
_atom_site_fract_y
_atom_site_fract_z
Pa1 0.000 0.000 0.000
Ga1 0.000 0.000 0.500
Ru1 0.250 0.250 0.250
Pt1 0.250 0.250 0.750
```

Computed properties:
- ΔE_f (eV/atom) = -0.538
- ρ (g/cm3) = 13.48
- total moment (μB/cell) = 0.00

=====

Entry 4:
The following is a GGA-PBE calculation of crystalline BiSeS4 at its relaxed geometry, from Alexandria.

CIF file:
```
data_BiSeS4
_cell_length_a 10.925
_cell_length_b 9.859
_cell_length_c 7.801
_cell_angle_alpha 90.00
_cell_angle_beta 133.01
_cell_angle_gamma 90.00
_symmetry_space_group_name_H-M 'C 1 2/c 1'
_symmetry_Int_Tables_number 15
loop_
_symmetry_equiv_pos_as_xyz
'x,y,z'
'-x,-y,-z'
'-x,y,-z+1/2'
'x,-y,z+1/2'
'x+1/2,y+1/2,z'
'-x+1/2,-y+1/2,-z'
'-x+1/2,y+1/2,-z+1/2'
'x+1/2,-y+1/2,z+1/2'
loop_
_atom_site_label
_atom_site_fract_x
_atom_site_fract_y
_atom_site_fract_z
Bi1 0.000 0.022 0.250
Se1 0.000 0.269 0.750
S1 0.184 0.270 0.181
S2 0.229 0.473 0.245
```

Computed properties:
- ρ (g/cm3) = 4.50
- total moment (μB/cell) = 0.00
- E_form (uncorrected) (eV/atom) = 0.087

=====

Entry 5:
The following is a GGA-PBE calculation of crystalline LiInSn at its relaxed geometry, from Alexandria.

CIF file:
```
data_LiInSn
_cell_length_a 10.238
_cell_length_b 4.400
_cell_length_c 6.728
_cell_angle_alpha 90.00
_cell_angle_beta 95.19
_cell_angle_gamma 90.00
_symmetry_space_group_name_H-M 'C 1 2/m 1'
_symmetry_Int_Tables_number 12
loop_
_symmetry_equiv_pos_as_xyz
'x,y,z'
'-x,-y,-z'
'-x,y,-z'
'x,-y,z'
'x+1/2,y+1/2,z'
'-x+1/2,-y+1/2,-z'
'-x+1/2,y+1/2,-z'
'x+1/2,-y+1/2,z'
loop_
_atom_site_label
_atom_site_fract_x
_atom_site_fract_y
_atom_site_fract_z
Li1 0.076 0.000 0.244
In1 0.134 0.500 0.933
Sn1 0.204 0.000 0.650
```

Computed properties:
- ΔE_f (eV/atom) = -0.151
- ρ (g/cm3) = 5.29
- total moment (μB/cell) = 0.00

=====

Entry 6:
The following is a GGA-PBE calculation of crystalline LaPrTl at its relaxed geometry, from Alexandria.

CIF file:
```
data_LaPrTl
_cell_length_a 5.6360
_cell_length_b 5.6360
_cell_length_c 7.0286
_cell_angle_alpha 90.00
_cell_angle_beta 90.00
_cell_angle_gamma 120.00
_symmetry_space_group_name_H-M 'P 63/m m c'
_symmetry_Int_Tables_number 194
_symmetry_space_group_name_Hall '-P 6c 2c'
loop_
_atom_site_label
_atom_site_fract_x
_atom_site_fract_y
_atom_site_fract_z
La1 0.0000 0.0000 0.0000
Pr1 0.3333 0.6667 0.2500
Tl1 0.3333 0.6667 0.7500
```

Computed properties:
- energy above the most stable polymorph in this dataset (eV/atom) = 0.000
- ΔE_f (eV/atom) = -0.284
- ρ (g/cm3) = 8.31
- total moment (μB/cell) = 0.93

=====

Entry 7:
The following is a GGA-PBE calculation of crystalline Ba2CaInH at its relaxed geometry, from Alexandria.

CIF file:
```
data_Ba2CaInH
_cell_length_a 5.569
_cell_length_b 5.569
_cell_length_c 5.247
_cell_angle_alpha 90.00
_cell_angle_beta 90.00
_cell_angle_gamma 90.00
_symmetry_space_group_name_H-M 'P 4/m m m'
_symmetry_Int_Tables_number 123
_symmetry_space_group_name_Hall '-P 4 2'
loop_
_atom_site_label
_atom_site_fract_x
_atom_site_fract_y
_atom_site_fract_z
Ba1 0.000 0.500 0.000
Ca1 0.000 0.000 0.500
In1 0.500 0.500 0.500
H1 0.000 0.000 0.000
```

Computed properties:
- energy above the most stable polymorph in this dataset (eV/atom) = 0.000
- ρ (g/cm3) = 4.39
- total moment (μB/cell) = 0.00

=====

Entry 8:
The following is a GGA-PBE calculation of crystalline CuWBr2 at its relaxed geometry, from Alexandria.

CIF file:
```
data_CuWBr2
_cell_length_a 6.153
_cell_length_b 6.153
_cell_length_c 9.688
_cell_angle_alpha 90.00
_cell_angle_beta 90.00
_cell_angle_gamma 90.00
_symmetry_space_group_name_H-M 'I -4 2 d'
_symmetry_Int_Tables_number 122
_symmetry_space_group_name_Hall 'I -4 2bw'
loop_
_atom_site_label
_atom_site_fract_x
_atom_site_fract_y
_atom_site_fract_z
Cu1 0.000 0.000 0.000
W1 0.000 0.000 0.500
Br1 0.238 0.250 0.125
```

Computed properties:
- energy above the most stable polymorph in this dataset (eV/atom) = 0.832
- ρ (g/cm3) = 7.37
- total moment (μB/cell) = 4.39
- E_form (uncorrected) (eV/atom) = 1.103

=====

Entry 9:
The following is a GGA-PBE calculation of crystalline PmTmCdGe at its relaxed geometry, from Alexandria.

CIF file:
```
data_PmTmCdGe
_cell_length_a 7.324
_cell_length_b 7.324
_cell_length_c 7.324
_cell_angle_alpha 90.00
_cell_angle_beta 90.00
_cell_angle_gamma 90.00
_symmetry_space_group_name_H-M 'F -4 3 m'
_symmetry_Int_Tables_number 216
_symmetry_space_group_name_Hall 'F -4 2 3'
loop_
_atom_site_label
_atom_site_fract_x
_atom_site_fract_y
_atom_site_fract_z
Pm1 0.000 0.000 0.000
Tm1 0.000 0.000 0.500
Cd1 0.250 0.250 0.250
Ge1 0.250 0.250 0.750
```

Computed properties:
- ΔE_f (eV/atom) = -0.459
- ρ (g/cm3) = 8.44
- total moment (μB/cell) = 0.00

=====

Entry 10:
The following is a GGA-PBE calculation of crystalline LaBeIr2 at its relaxed geometry, from Alexandria.

CIF file:
```
data_LaBeIr2
_cell_length_a 7.423
_cell_length_b 4.281
_cell_length_c 5.589
_cell_angle_alpha 90.00
_cell_angle_beta 116.12
_cell_angle_gamma 90.00
_symmetry_space_group_name_H-M 'C 1 m 1'
_symmetry_Int_Tables_number 8
loop_
_symmetry_equiv_pos_as_xyz
'x,y,z'
'x,-y,z'
'x+1/2,y+1/2,z'
'x+1/2,-y+1/2,z'
loop_
_atom_site_label
_atom_site_fract_x
_atom_site_fract_y
_atom_site_fract_z
La1 0.000 0.000 0.000
Be1 0.309 0.500 0.428
Ir1 0.188 0.000 0.565
Ir2 0.498 0.000 0.496
```

Computed properties:
- ΔE_f (eV/atom) = -0.429
- ρ (g/cm3) = 11.09
- total moment (μB/cell) = 0.00

=====

Entry 11:
The following is a GGA-PBE calculation of crystalline TcGeC3 at its relaxed geometry, from Alexandria.

CIF file:
```
data_TcGeC3
_cell_length_a 4.040
_cell_length_b 4.040
_cell_length_c 4.040
_cell_angle_alpha 90.00
_cell_angle_beta 90.00
_cell_angle_gamma 90.00
_symmetry_space_group_name_H-M 'P m -3 m'
_symmetry_Int_Tables_number 221
_symmetry_space_group_name_Hall '-P 4 2 3'
loop_
_atom_site_label
_atom_site_fract_x
_atom_site_fract_y
_atom_site_fract_z
Tc1 0.000 0.000 0.000
Ge1 0.500 0.500 0.500
C1 0.000 0.000 0.500
```

Computed properties:
- energy above the most stable polymorph in this dataset (eV/atom) = 0.000
- ΔE_f (eV/atom) = 1.943
- ρ (g/cm3) = 5.20
- total moment (μB/cell) = 0.00

=====

Entry 12:
The following is a GGA-PBE calculation of crystalline CdTeAsI2 at its relaxed geometry, from Alexandria.

CIF file:
```
data_CdTeAsI2
_cell_length_a 5.622
_cell_length_b 5.622
_cell_length_c 5.718
_cell_angle_alpha 90.00
_cell_angle_beta 90.00
_cell_angle_gamma 90.00
_symmetry_space_group_name_H-M 'P 4/m m m'
_symmetry_Int_Tables_number 123
_symmetry_space_group_name_Hall '-P 4 2'
loop_
_atom_site_label
_atom_site_fract_x
_atom_site_fract_y
_atom_site_fract_z
Cd1 0.000 0.000 0.000
Te1 0.500 0.500 0.000
As1 0.500 0.500 0.500
I1 0.000 0.500 0.500
```

Computed properties:
- energy above the most stable polymorph in this dataset (eV/atom) = 0.000
- ρ (g/cm3) = 5.23
- total moment (μB/cell) = 0.00
- E_form (uncorrected) (eV/atom) = 0.204

=====

Repeat the ninth record exactly.
The following is a GGA-PBE calculation of crystalline PmTmCdGe at its relaxed geometry, from Alexandria.

CIF file:
```
data_PmTmCdGe
_cell_length_a 7.324
_cell_length_b 7.324
_cell_length_c 7.324
_cell_angle_alpha 90.00
_cell_angle_beta 90.00
_cell_angle_gamma 90.00
_symmetry_space_group_name_H-M 'F -4 3 m'
_symmetry_Int_Tables_number 216
_symmetry_space_group_name_Hall 'F -4 2 3'
loop_
_atom_site_label
_atom_site_fract_x
_atom_site_fract_y
_atom_site_fract_z
Pm1 0.000 0.000 0.000
Tm1 0.000 0.000 0.500
Cd1 0.250 0.250 0.250
Ge1 0.250 0.250 0.750
```

Computed properties:
- ΔE_f (eV/atom) = -0.459
- ρ (g/cm3) = 8.44
- total moment (μB/cell) = 0.00

=====

Look up the ρ of the seventh one. 4.39 g/cm3